1.
Compound: ZrTeI3
Source: the Alexandria database
Functional: GGA-PBEsol
Structure: optimized geometry

- V: 41.26 Å³ per atom
- Space-group type: Pm-3m, No. 221
- ΔE_f (raw): 0.781 eV/atom

Cell: 5.9087 5.9087 5.9087 Å, 90.00 90.00 90.00°
Sites, in units of the cell vectors:
I (0.5000, 0.0000, 0.0000)
I (0.0000, 0.0000, 0.5000)
Zr (0.5000, 0.5000, 0.5000)
Te (0.0000, 0.0000, 0.0000)
I (0.0000, 0.5000, 0.0000)

2.
Compound: CdSb2Se2
Source: the Alexandria database
Functional: GGA-PBEsol
Structure: optimized geometry

- V: 26.09 Å³ per atom
- Space-group type: P4/mbm, No. 127
- ΔE_f (raw): -0.021 eV/atom

Cell: 3.8567 8.2241 8.2241 Å, 90.00 90.00 90.00°
Sites, in units of the cell vectors:
Sb (0.0000, 0.1937, 0.3063)
Se (0.5000, 0.6451, 0.8549)
Cd (0.0000, 0.0000, 0.0000)
Cd (0.0000, 0.5000, 0.5000)
Sb (0.0000, 0.6937, 0.1937)
Sb (0.0000, 0.3063, 0.8063)
Sb (0.0000, 0.8063, 0.6937)
Se (0.5000, 0.1451, 0.6451)
Se (0.5000, 0.8549, 0.3549)
Se (0.5000, 0.3549, 0.1451)

3.
Compound: Mg2TaSe
Source: the Alexandria database
Functional: GGA-PBEsol
Structure: optimized geometry

- V: 18.80 Å³ per atom
- Space-group type: Cmmm, No. 65
- ΔE_f (raw): 0.061 eV/atom

Cell: 3.1790 5.2007 5.2007 Å, 118.99 90.00 90.00°
Sites, in units of the cell vectors:
Mg (0.0000, 0.5000, 0.0000)
Mg (0.0000, 0.0000, 0.5000)
Ta (0.5000, 0.5000, 0.5000)
Se (0.5000, 0.0000, 0.0000)

4.
Compound: KYCd
Source: the Alexandria database
Functional: GGA-PBEsol
Structure: optimized geometry

- Energy relative to the elements: 0.085 eV/atom
- V: 34.70 Å³ per atom
- ΔE to the lowest computed polymorph: 0.0 meV/atom
- Space-group type: I4mm, No. 107

Cell: 3.6783 3.6783 8.1221 Å, 103.09 103.09 90.00°
Sites, in units of the cell vectors:
K (0.6476, 0.6476, 0.2952)
Cd (0.9790, 0.9790, 0.9580)
Y (0.3734, 0.3734, 0.7468)

5.
Compound: Li2FeAu
Source: the Alexandria database
Functional: GGA-PBEsol
Structure: optimized geometry

- Energy relative to the elements: 0.063 eV/atom
- V: 14.18 Å³ per atom
- Space-group type: R-3m, No. 166

Cell: 2.7097 2.7097 9.0559 Å, 81.40 81.40 60.00°
Sites, in units of the cell vectors:
Au (0.0000, 0.0000, 0.0000)
Li (0.2485, 0.2485, 0.2546)
Fe (0.5000, 0.5000, 0.5000)
Li (0.7515, 0.7515, 0.7454)

6.
Compound: CoNi2Mo
Source: the Alexandria database
Functional: GGA-PBEsol
Structure: optimized geometry

- Energy relative to the elements: -0.071 eV/atom
- V: 11.30 Å³ per atom
- ΔE to the lowest computed polymorph: 8.8 meV/atom
- Space-group type: I4/mmm, No. 139

Cell: 3.4861 3.4861 4.4621 Å, 112.99 112.99 90.00°
Sites, in units of the cell vectors:
Ni (0.2500, 0.7500, 0.5000)
Mo (0.0000, 0.0000, 0.0000)
Ni (0.7500, 0.2500, 0.5000)
Co (0.5000, 0.5000, 0.0000)

7.
Compound: MgPb3
Source: the Alexandria database
Functional: GGA-PBEsol
Structure: optimized geometry

- Energy relative to the elements: -0.008 eV/atom
- V: 27.94 Å³ per atom
- Space-group type: P-6m2, No. 187

Cell: 3.5128 3.5128 10.4590 Å, 90.00 90.00 120.00°
Sites, in units of the cell vectors:
Mg (0.0000, 0.0000, 0.0000)
Pb (0.3333, 0.6667, 0.7677)
Pb (0.3333, 0.6667, 0.2323)
Pb (0.0000, 0.0000, 0.5000)

8.
Compound: RbWSCl2
Source: the Alexandria database
Functional: GGA-PBEsol
Structure: optimized geometry

- V: 22.80 Å³ per atom
- Space-group type: P4/mmm, No. 123
- ΔE_f (raw): -0.695 eV/atom

Cell: 4.5763 4.9914 4.9914 Å, 90.00 90.00 90.00°
Sites, in units of the cell vectors:
Rb (0.5000, 0.5000, 0.5000)
Cl (0.0000, 0.0000, 0.5000)
S (0.5000, 0.0000, 0.0000)
W (0.0000, 0.0000, 0.0000)
Cl (0.0000, 0.5000, 0.0000)

9.
Compound: Cr5W3
Source: the Alexandria database
Functional: GGA-PBEsol
Structure: optimized geometry

- Energy relative to the elements: 0.108 eV/atom
- V: 13.00 Å³ per atom
- Space-group type: Amm2, No. 38

Cell: 5.9256 5.9257 5.9257 Å, 89.90 90.00 90.00°
Sites, in units of the cell vectors:
W (0.5000, 0.9938, 0.9938)
Cr (0.7562, 0.7500, 0.2493)
W (0.5000, 0.5055, 0.9904)
Cr (0.2438, 0.7500, 0.2493)
Cr (0.5000, 0.5026, 0.5026)
Cr (0.0000, 0.9936, 0.9936)
Cr (0.2438, 0.2493, 0.7500)
W (0.2439, 0.2499, 0.2499)
W (0.7561, 0.2499, 0.2499)
Cr (0.0000, 0.9968, 0.5070)
Cr (0.0000, 0.5070, 0.9968)
W (0.0000, 0.5092, 0.5092)
Cr (0.2427, 0.7513, 0.7513)
W (0.5000, 0.9904, 0.5055)
Cr (0.7573, 0.7513, 0.7513)
Cr (0.7562, 0.2493, 0.7500)

10.
Compound: LaTc2P
Source: the Alexandria database
Functional: GGA-PBEsol
Structure: optimized geometry

- Energy relative to the elements: 0.278 eV/atom
- V: 17.01 Å³ per atom
- Space-group type: I-4m2, No. 119

Cell: 4.3232 4.7530 4.3232 Å, 117.05 90.00 117.05°
Sites, in units of the cell vectors:
Tc (0.0000, 0.0000, 0.0000)
Tc (0.7500, 0.5000, 0.2500)
P (0.2500, 0.5000, 0.7500)
La (0.5000, 0.0000, 0.5000)

11.
Compound: Mn2CoRe
Source: the Alexandria database
Functional: GGA-PBEsol
Structure: optimized geometry

- Energy relative to the elements: 0.188 eV/atom
- V: 11.67 Å³ per atom
- Space-group type: R3m, No. 160

Cell: 2.5712 2.5712 8.2845 Å, 81.07 81.07 60.00°
Sites, in units of the cell vectors:
Co (0.2539, 0.2539, 0.2383)
Mn (0.7444, 0.7444, 0.7667)
Mn (0.0011, 0.0011, 0.9968)
Re (0.5006, 0.5006, 0.4982)

12.
Compound: K2RuRh
Source: the Alexandria database
Functional: GGA-PBEsol
Structure: optimized geometry

- Energy relative to the elements: 1.151 eV/atom
- V: 19.28 Å³ per atom
- ΔE to the lowest computed polymorph: 484.0 meV/atom
- Space-group type: C2/m, No. 12

Cell: 2.6941 5.3388 6.0325 Å, 63.74 86.60 82.30°
Sites, in units of the cell vectors:
K (0.0000, 0.0000, 0.5000)
Ru (0.5000, 0.0000, 0.0000)
K (0.0000, 0.5000, 0.5000)
Rh (0.5000, 0.5000, 0.0000)